Entry from Alexandria via LeMat-Bulk: an optimized crystal structure of RbNdMn2O8 (GGA+U).

Values from the calculation:
As for the total energy: -6.45 eV/atom. Its spin magnetization is 2.0 μB/f.u. The crystal system is trigonal.

CIF file:
```
data_RbNdMn2O8
_chemical_formula_sum 'Rb1 Nd1 Mn2 O8'
_cell_length_a 5.8470
_cell_length_b 5.8470
_cell_length_c 8.1763
_cell_angle_alpha 90.00
_cell_angle_beta 90.00
_cell_angle_gamma 120.00
_space_group_name_H-M_alt 'P -3'
_space_group_IT_number 147
_space_group_name_Hall '-P 3'
loop_
_atom_site_label
_atom_site_type_symbol
_atom_site_fract_x
_atom_site_fract_y
_atom_site_fract_z
_atom_site_occupancy
Rb1 Rb 0.0000 0.0000 0.0000 1
Nd1 Nd 0.0000 0.0000 0.5000 1
Mn1 Mn 0.3333 0.6667 0.7534 1
O1 O 0.1762 0.8211 0.6836 1
O2 O 0.3333 0.6667 0.9522 1
```